{"formula": "PrMnRu", "functional": "PBE-GGA", "state": "optimized geometry", "lattice_angstrom": [[-2.3657, 2.4895, 5.1836], [2.3657, -2.4895, 5.1836], [2.3657, 2.4895, -5.1836]], "species": ["Pr", "Pr", "Mn", "Mn", "Ru", "Ru"], "frac_coords": [[0.3799, 0.1299, 0.2500], [0.6201, 0.8701, 0.7500], [0.0000, 0.5000, 0.5000], [0.5000, 0.5000, 0.0000], [0.0564, 0.3064, 0.7500], [0.9436, 0.6936, 0.2500]], "dft_energy_ev_per_cell": -45.313}